Record 1
Computed, not measured: PrSbAu after structural relaxation at the PBE level of DFT.

As for the formation energy without anion corrections: -0.6961 eV per atom. The crystal system is monoclinic.

The space group is P2_1/m (No. 11) and the conventional cell measures 4.367, 6.403 and 5.992 Å, with angles of 90.00, 111.18 and 90.00 degrees. The asymmetric unit holds Pr at (0.181, 0.250, 0.363), Sb at (0.111, 0.750, 0.218) and Au at (0.500, 0.000, 0.000).

=====

Record 2
Computed, not measured: MnNb2Si after structural relaxation at the PBE level of DFT.

As for the formation energy without anion corrections: 0.2542 eV per atom. The crystal system is tetragonal.

The space group is I-42d (No. 122) and the conventional cell measures 7.002, 7.002 and 5.456 Å, with angles of 90.00, 90.00 and 90.00 degrees. The asymmetric unit holds Mn at (0.000, 0.000, 0.000), Nb at (0.247, 0.750, 0.625) and Si at (0.000, 0.000, 0.500).

=====

Q: Among the records above, which one has the lowest formation energy without anion corrections?
A: PrSbAu